[1]
NaS8O2: optimized geometry, GGA-PBE.

Lattice parameters (Å, degrees): 4.737 5.241 12.532 81.28 84.97 77.48
Sites, in units of the cell vectors:
Na  0.000  0.000  0.000
S  0.082  0.168  0.348
S  0.196  0.825  0.762
S  0.457  0.199  0.975
S  0.492  0.128  0.687
S  0.508  0.872  0.313
S  0.543  0.801  0.025
S  0.804  0.175  0.238
S  0.918  0.832  0.652
O  0.369  0.238  0.581
O  0.631  0.762  0.419

## Properties
E_tot = -46.75 eV for the cell shown
ΔE_f (raw) = -0.227 eV/atom

---

[2]
La2ZnAgRu: optimized geometry, GGA-PBE.

Lattice parameters (Å, degrees): 5.358 5.358 4.930 90.00 90.00 90.00
Sites, in units of the cell vectors:
La  0.000  0.500  0.000
La  0.500  0.000  0.000
Zn  0.000  0.000  0.500
Ag  0.500  0.500  0.500
Ru  0.000  0.000  0.000

## Properties
Formation energy from the elements = -0.845 eV per formula unit
E_tot = -24.10 eV for the cell shown
Energy above the most stable polymorph in this dataset = 140.2 meV per atom

---

[3]
Ca2AlMo: optimized geometry, GGA-PBE.

Lattice parameters (Å, degrees): 3.072 4.869 6.057 90.00 92.15 90.00
Sites, in units of the cell vectors:
Ca  0.002  0.000  0.255
Ca  0.998  0.000  0.745
Al  0.500  0.500  0.000
Mo  0.500  0.500  0.500

## Properties
Formation energy from the elements = 2.037 eV per formula unit
E_tot = -16.54 eV for the cell shown

---

[4]
SrLi2SbO4: optimized geometry, GGA-PBE.

Lattice parameters (Å, degrees): 5.524 5.524 7.145 90.00 90.00 90.00
Sites, in units of the cell vectors:
Sr  0.000  0.000  0.000
Sr  0.500  0.500  0.500
Li  0.000  0.500  0.250
Li  0.000  0.500  0.750
Li  0.500  0.000  0.250
Li  0.500  0.000  0.750
Sb  0.000  0.000  0.500
Sb  0.500  0.500  0.000
O  0.212  0.212  0.662
O  0.212  0.788  0.338
O  0.288  0.288  0.162
O  0.288  0.712  0.838
O  0.712  0.288  0.838
O  0.712  0.712  0.162
O  0.788  0.212  0.338
O  0.788  0.788  0.662

## Properties
E_tot = -89.55 eV for the cell shown
ΔE_f (raw) = -1.914 eV/atom

---

[5]
ThTa3Ge2: optimized geometry, GGA-PBE.

Lattice parameters (Å, degrees): 7.735 7.735 8.534 116.08 116.08 32.93
Sites, in units of the cell vectors:
Th  0.149  0.149  0.057
Th  0.851  0.851  0.943
Ta  0.051  0.051  0.371
Ta  0.314  0.314  0.528
Ta  0.421  0.421  0.332
Ta  0.579  0.579  0.668
Ta  0.686  0.686  0.472
Ta  0.949  0.949  0.629
Ge  0.196  0.196  0.716
Ge  0.475  0.475  0.842
Ge  0.525  0.525  0.158
Ge  0.804  0.804  0.284

## Properties
Formation energy from the elements = -2.010 eV per formula unit
E_tot = -108.44 eV for the cell shown

---

[6]
Ac12Ru5Rh3: optimized geometry, GGA-PBE.

Lattice parameters (Å, degrees): 15.123 15.123 15.123 109.47 109.47 109.47
Sites, in units of the cell vectors:
Ac  0.038  0.216  0.126
Ac  0.038  0.321  0.911
Ac  0.089  0.626  0.410
Ac  0.089  0.962  0.679
Ac  0.090  0.716  0.679
Ac  0.090  0.874  0.411
Ac  0.126  0.038  0.216
Ac  0.126  0.589  0.910
Ac  0.179  0.216  0.590
Ac  0.179  0.462  0.589
Ac  0.216  0.126  0.038
Ac  0.216  0.590  0.179
Ac  0.284  0.321  0.910
Ac  0.284  0.462  0.374
Ac  0.321  0.910  0.284
Ac  0.321  0.911  0.038
Ac  0.374  0.284  0.462
Ac  0.374  0.590  0.911
Ac  0.410  0.089  0.626
Ac  0.410  0.821  0.784
Ac  0.411  0.090  0.874
Ac  0.411  0.821  0.538
Ac  0.462  0.374  0.284
Ac  0.462  0.589  0.179
Ac  0.538  0.411  0.821
Ac  0.538  0.626  0.716
Ac  0.589  0.179  0.462
Ac  0.589  0.910  0.126
Ac  0.590  0.179  0.216
Ac  0.590  0.911  0.374
Ac  0.626  0.410  0.089
Ac  0.626  0.716  0.538
Ac  0.679  0.089  0.962
Ac  0.679  0.090  0.716
Ac  0.716  0.538  0.626
Ac  0.716  0.679  0.090
Ac  0.784  0.410  0.821
Ac  0.784  0.874  0.962
Ac  0.821  0.538  0.411
Ac  0.821  0.784  0.410
Ac  0.874  0.411  0.090
Ac  0.874  0.962  0.784
Ac  0.910  0.126  0.589
Ac  0.910  0.284  0.321
Ac  0.911  0.038  0.321
Ac  0.911  0.374  0.590
Ac  0.962  0.679  0.089
Ac  0.962  0.784  0.874
Ru  0.000  0.000  0.000
Ru  0.000  0.000  0.500
Ru  0.000  0.500  0.000
Ru  0.000  0.500  0.500
Ru  0.125  0.750  0.875
Ru  0.125  0.875  0.250
Ru  0.250  0.125  0.875
Ru  0.250  0.625  0.375
Ru  0.375  0.250  0.625
Ru  0.375  0.625  0.750
Ru  0.500  0.000  0.000
Ru  0.500  0.000  0.500
Ru  0.500  0.500  0.000
Ru  0.500  0.500  0.500
Ru  0.625  0.375  0.250
Ru  0.625  0.750  0.375
Ru  0.750  0.375  0.625
Ru  0.750  0.875  0.125
Ru  0.875  0.125  0.750
Ru  0.875  0.250  0.125
Rh  0.125  0.250  0.375
Rh  0.125  0.375  0.750
Rh  0.250  0.375  0.125
Rh  0.250  0.875  0.625
Rh  0.375  0.125  0.250
Rh  0.375  0.750  0.125
Rh  0.625  0.250  0.875
Rh  0.625  0.875  0.750
Rh  0.750  0.125  0.375
Rh  0.750  0.625  0.875
Rh  0.875  0.625  0.250
Rh  0.875  0.750  0.625

## Properties
Formation energy from the elements = -1.314 eV per formula unit
E_tot = -476.19 eV for the cell shown

---

[7]
Cd2WBr: optimized geometry, GGA-PBE.

Lattice parameters (Å, degrees): 6.985 6.985 6.985 90.00 90.00 90.00
Sites, in units of the cell vectors:
Cd  0.000  0.000  0.000
Cd  0.000  0.500  0.500
Cd  0.250  0.250  0.250
Cd  0.250  0.750  0.750
Cd  0.500  0.000  0.500
Cd  0.500  0.500  0.000
Cd  0.750  0.250  0.750
Cd  0.750  0.750  0.250
W  0.250  0.250  0.750
W  0.250  0.750  0.250
W  0.750  0.250  0.250
W  0.750  0.750  0.750
Br  0.000  0.000  0.500
Br  0.000  0.500  0.000
Br  0.500  0.000  0.000
Br  0.500  0.500  0.500

## Properties
E_tot = -47.89 eV for the cell shown
ΔE_f (raw) = 1.121 eV/atom
Energy above the most stable polymorph in this dataset = 663.3 meV per atom

---

[8]
Er2Zn7Pd: optimized geometry, GGA-PBE.

Lattice parameters (Å, degrees): 4.016 4.016 11.140 90.00 90.00 90.00
Sites, in units of the cell vectors:
Er  0.000  0.500  0.249
Er  0.500  0.000  0.751
Zn  0.000  0.000  0.000
Zn  0.000  0.000  0.500
Zn  0.000  0.500  0.640
Zn  0.000  0.500  0.858
Zn  0.500  0.000  0.142
Zn  0.500  0.000  0.360
Zn  0.500  0.500  0.500
Pd  0.500  0.500  0.000

## Properties
Formation energy from the elements = -3.577 eV per formula unit
E_tot = -26.81 eV for the cell shown